(1)
Crystalline Ta2AlAu at its relaxed geometry. Source: Alexandria via LeMat-Bulk, functional GGA-PBEsol.

Cell lengths 3.7597, 4.2411, 8.3853 Å; angles 90.00, 90.00, 90.00 degrees
Closest atoms and distances in Å follow each position.
Space group Cmm2 (No. 35)
Inequivalent atoms, fractional coordinates:
Ta1 0.0000 0.0000 0.0000 (multiplicity 2)  8 Ta 2.83-3.09, 4 Au 2.86-3.02
Ta2 0.0000 0.5000 0.2685 (multiplicity 2)  4 Al 2.78-2.95, 8 Ta 2.83-3.09
Al1 0.0000 0.0000 0.5133 (multiplicity 2)  4 Au 2.69-2.86, 4 Ta 2.78-2.95, 4 Al 2.83
Au1 0.0000 0.5000 0.7428 (multiplicity 2)  4 Al 2.69-2.86, 4 Au 2.83, 2 Ta 2.86

Summary:
Total moment = 0.00 μB per atom
Energy relative to the elements = -0.1777 eV per atom
N(E_F) = 1.99 states/eV/f.u.



(2)
Crystalline Ta2AlAu at its relaxed geometry. Source: Alexandria via LeMat-Bulk, functional GGA-PBEsol.

Cell lengths 2.8503, 2.8503, 8.1184 Å; angles 90.00, 90.00, 90.00 degrees
Closest atoms and distances in Å follow each position.
Space group P4/mmm (No. 123)
Inequivalent atoms, fractional coordinates:
Ta1 0.0000 0.0000 0.2390 (multiplicity 2)  4 Al 2.80, 4 Ta 2.85, 4 Au 2.92
Al1 0.5000 0.5000 0.0000 (multiplicity 1)  8 Ta 2.80, 4 Al 2.85
Au1 0.5000 0.5000 0.5000 (multiplicity 1)  4 Au 2.85, 8 Ta 2.92

Summary:
Total moment = 0.00 μB per atom
Energy relative to the elements = -0.1838 eV per atom
N(E_F) = 2.10 states/eV/f.u.



(3)
Crystalline TaAl2Au at its relaxed geometry. Source: Alexandria via LeMat-Bulk, functional GGA-PBEsol.

Cell lengths 4.1096, 4.1096, 3.7465 Å; angles 90.00, 90.00, 90.00 degrees
Closest atoms and distances in Å follow each position.
Space group P4/mmm (No. 123)
Inequivalent atoms, fractional coordinates:
Ta1 0.0000 0.0000 0.0000 (multiplicity 1)  8 Al 2.78, 4 Au 2.91
Al1 0.0000 0.5000 0.5000 (multiplicity 2)  4 Ta 2.78, 4 Au 2.78, 4 Al 2.91
Au1 0.5000 0.5000 0.0000 (multiplicity 1)  8 Al 2.78, 4 Ta 2.91

Summary:
Total moment = 0.00 μB per atom
Energy relative to the elements = -0.3226 eV per atom
N(E_F) = 1.33 states/eV/f.u.



(4)
Crystalline Ta2AlAu at its relaxed geometry. Source: Alexandria via LeMat-Bulk, functional GGA-PBEsol.

Cell lengths 2.8709, 4.1918, 5.5141 Å; angles 90.00, 90.09, 90.00 degrees
Closest atoms and distances in Å follow each position.
Space group P2/m (No. 10)
Inequivalent atoms, fractional coordinates:
Ta1 0.9997 0.0000 0.2435 (multiplicity 2)  4 Ta 2.69-2.87, 4 Al 2.87, 4 Au 2.91
Al1 0.5000 0.5000 0.0000 (multiplicity 1)  2 Au 2.76, 2 Al 2.87, 8 Ta 2.87
Au1 0.5000 0.5000 0.5000 (multiplicity 1)  2 Al 2.76, 2 Au 2.87, 8 Ta 2.91

Summary:
Total moment = 0.00 μB per atom
Energy relative to the elements = -0.2021 eV per atom
N(E_F) = 2.49 states/eV/f.u.



(5)
Crystalline Ta2AlAu at its relaxed geometry. Source: Alexandria via LeMat-Bulk, functional GGA-PBEsol.

Cell lengths 3.8427, 3.9411, 8.6950 Å; angles 90.00, 90.00, 90.00 degrees
Closest atoms and distances in Å follow each position.
Space group Immm (No. 71)
Inequivalent atoms, fractional coordinates:
Ta1 0.0000 0.0000 0.2495 (multiplicity 4)  4 Ta 2.75, 4 Al 2.90-2.94, 4 Au 2.90-2.93
Al1 0.0000 0.5000 0.5000 (multiplicity 2)  4 Au 2.75, 8 Ta 2.90-2.94
Au1 0.0000 0.5000 0.0000 (multiplicity 2)  4 Al 2.75, 8 Ta 2.90-2.93

Summary:
Total moment = 0.00 μB per atom
Energy relative to the elements = -0.2567 eV per atom
N(E_F) = 2.52 states/eV/f.u.



(6)
Crystalline TaAl2Au at its relaxed geometry. Source: Alexandria via LeMat-Bulk, functional GGA-PBEsol.

Cell lengths 2.8968, 3.5967, 6.1548 Å; angles 90.00, 90.00, 90.00 degrees
Closest atoms and distances in Å follow each position.
Space group Pmmm (No. 47)
Inequivalent atoms, fractional coordinates:
Ta1 0.0000 0.0000 0.0000 (multiplicity 1)  8 Al 2.78, 2 Ta 2.90, 2 Au 3.08
Al1 0.5000 0.5000 0.2521 (multiplicity 2)  4 Au 2.77, 4 Ta 2.78, 3 Al 2.90-3.05
Au1 0.0000 0.0000 0.5000 (multiplicity 1)  8 Al 2.77, 2 Au 2.90, 2 Ta 3.08

Summary:
Total moment = 0.00 μB per atom
Energy relative to the elements = -0.2011 eV per atom
N(E_F) = 1.78 states/eV/f.u.



(7)
Crystalline TbAl2Au2 at its relaxed geometry. Source: Alexandria via LeMat-Bulk, functional GGA-PBEsol.

Cell lengths 4.2864, 4.2864, 10.4030 Å; angles 90.00, 90.00, 90.00 degrees
Closest atoms and distances in Å follow each position.
Space group P4/nmm (No. 129, origin choice 2)
Inequivalent atoms, fractional coordinates:
Tb1 0.2500 0.2500 0.2495 (multiplicity 2)  8 Al 3.27-3.37, 8 Au 3.27-3.37
Al1 0.2500 0.2500 0.8675 (multiplicity 2)  5 Au 2.44-2.55
Al2 0.2500 0.7500 0.5000 (multiplicity 2)  4 Au 2.55
Au1 0.2500 0.2500 0.6331 (multiplicity 2)  5 Al 2.44-2.55
Au2 0.2500 0.7500 0.0000 (multiplicity 2)  4 Al 2.55

Summary:
Total moment = 0.00 μB per atom
Energy relative to the elements = -0.7453 eV per atom
N(E_F) = 2.41 states/eV/f.u.



(8)
Crystalline TbAl7Au3 at its relaxed geometry. Source: Alexandria via LeMat-Bulk, functional GGA-PBEsol.

Cell lengths 8.0083, 8.0083, 20.9306 Å; angles 90.00, 90.00, 120.00 degrees
Closest atoms and distances in Å follow each position.
Space group R-3c (No. 167, hexagonal axes)
Inequivalent atoms, fractional coordinates:
Tb1 0.0000 0.0000 0.0000 (multiplicity 6)  6 Au 3.22, 12 Al 3.29-3.33
Al1 0.0000 0.0000 0.2500 (multiplicity 6)  3 Au 2.59, 6 Al 2.87
Al2 0.0105 0.2076 0.1367 (multiplicity 36)  3 Au 2.56-2.64, 4 Al 2.81-2.86
Au1 0.0000 0.3240 0.2500 (multiplicity 18)  7 Al 2.56-2.64

Summary:
Total moment = 0.00 μB per atom
Energy relative to the elements = -0.5542 eV per atom
N(E_F) = 2.15 states/eV/f.u.



(9)
Crystalline Al2TcAu at its relaxed geometry. Source: Alexandria via LeMat-Bulk, functional GGA-PBEsol.

Cell lengths 4.1812, 4.1812, 3.2802 Å; angles 90.00, 90.00, 90.00 degrees
Closest atoms and distances in Å follow each position.
Space group P4/mmm (No. 123)
Inequivalent atoms, fractional coordinates:
Al1 0.0000 0.5000 0.0000 (multiplicity 2)  4 Tc 2.66, 4 Au 2.66, 4 Al 2.96
Tc1 0.0000 0.0000 0.5000 (multiplicity 1)  8 Al 2.66, 4 Au 2.96
Au1 0.5000 0.5000 0.5000 (multiplicity 1)  8 Al 2.66, 4 Tc 2.96

Summary:
Total moment = 0.00 μB per atom
Energy relative to the elements = -0.4611 eV per atom
N(E_F) = 0.88 states/eV/f.u.



(10)
Crystalline Al2TcAu at its relaxed geometry. Source: Alexandria via LeMat-Bulk, functional GGA-PBEsol.

Cell lengths 6.2273, 6.2273, 6.2273 Å; angles 90.00, 90.00, 90.00 degrees
Closest atoms and distances in Å follow each position.
Space group F-43m (No. 216)
Inequivalent atoms, fractional coordinates:
Al1 0.0000 0.0000 0.0000 (multiplicity 4)  4 Tc 2.70, 4 Al 2.70
Al2 0.2500 0.2500 0.2500 (multiplicity 4)  4 Al 2.70, 4 Au 2.70
Tc1 0.2500 0.2500 0.7500 (multiplicity 4)  4 Au 2.70, 4 Al 2.70
Au1 0.0000 0.0000 0.5000 (multiplicity 4)  4 Al 2.70, 4 Tc 2.70

Summary:
Total moment = 0.00 μB per atom
Energy relative to the elements = 0.0479 eV per atom
N(E_F) = 1.19 states/eV/f.u.



(11)
Crystalline Ti2AlTcAu at its relaxed geometry. Source: Alexandria via LeMat-Bulk, functional GGA-PBEsol.

Cell lengths 4.4979, 4.4979, 5.0718 Å; angles 90.00, 90.00, 90.00 degrees
Closest atoms and distances in Å follow each position.
Space group P4/mmm (No. 123)
Inequivalent atoms, fractional coordinates:
Ti1 0.0000 0.5000 0.0000 (multiplicity 2)  2 Tc 2.25
Al1 0.0000 0.0000 0.5000 (multiplicity 1)  4 Au 3.18, 8 Ti 3.39
Tc1 0.5000 0.5000 0.0000 (multiplicity 1)  4 Ti 2.25
Au1 0.5000 0.5000 0.5000 (multiplicity 1)  2 Tc 2.54

Summary:
Total moment = 0.00 μB per atom
Energy relative to the elements = 0.6614 eV per atom
N(E_F) = 5.27 states/eV/f.u.



(12)
Crystalline AlTeAu2 at its relaxed geometry. Source: Alexandria via LeMat-Bulk, functional GGA-PBEsol.

Cell lengths 6.8157, 6.8157, 6.8157 Å; angles 90.00, 90.00, 90.00 degrees
Closest atoms and distances in Å follow each position.
Space group F-43m (No. 216)
Inequivalent atoms, fractional coordinates:
Al1 0.0000 0.0000 0.0000 (multiplicity 4)  4 Te 2.95, 4 Au 2.95
Te1 0.2500 0.2500 0.2500 (multiplicity 4)  4 Au 2.95, 4 Al 2.95
Au1 0.0000 0.0000 0.5000 (multiplicity 4)  4 Au 2.95, 4 Te 2.95
Au2 0.2500 0.2500 0.7500 (multiplicity 4)  4 Al 2.95, 4 Au 2.95

Summary:
Energy relative to the elements, uncorrected = 195.6 meV per atom
Total moment = 0.00 μB per atom
N(E_F) = 2.78 states/eV/f.u.



(13)
Crystalline AlTe2Au at its relaxed geometry. Source: Alexandria via LeMat-Bulk, functional GGA-PBEsol.

Cell lengths 4.0589, 4.0589, 19.7318 Å; angles 90.00, 90.00, 120.00 degrees
Closest atoms and distances in Å follow each position.
Space group R-3m (No. 166, hexagonal axes)
Inequivalent atoms, fractional coordinates:
Al1 0.0000 0.0000 0.0000 (multiplicity 3)  6 Te 2.84
Te1 0.0000 0.0000 0.2523 (multiplicity 6)  3 Al 2.84, 3 Au 2.89
Au1 0.0000 0.0000 0.5000 (multiplicity 3)  6 Te 2.89

Summary:
Energy relative to the elements, uncorrected = -161.2 meV per atom
Total moment = 0.00 μB per atom
N(E_F) = 1.96 states/eV/f.u.



(14)
Crystalline AlTeAu at its relaxed geometry. Source: Alexandria via LeMat-Bulk, functional GGA-PBEsol.

Cell lengths 6.6701, 6.6701, 6.6701 Å; angles 90.00, 90.00, 90.00 degrees
Closest atoms and distances in Å follow each position.
Space group F-43m (No. 216)
Inequivalent atoms, fractional coordinates:
Al1 0.0000 0.0000 0.0000 (multiplicity 4)  4 Te 2.89
Te1 0.2500 0.2500 0.2500 (multiplicity 4)  4 Al 2.89, 4 Au 2.89
Au1 0.0000 0.0000 0.5000 (multiplicity 4)  4 Te 2.89

Summary:
Energy relative to the elements, uncorrected = 251.8 meV per atom
Total moment = 0.00 μB per atom
N(E_F) = 0.82 states/eV/f.u.